Record 1
The following is a PBE calculation of a geometry-optimized CsRb2SrBi structure, from Alexandria.

* formation energy from the elements: -0.21 eV per atom
* crystal system: tetragonal

Unit cell a=7.4197 b=7.4197 c=6.5851 alpha=90.00 beta=90.00 gamma=90.00
Space group P4/mmm (No. 123)
Symmetry-distinct sites (fractional):
Cs 0.0000 0.0000 0.0000
Rb 0.0000 0.5000 0.5000
Sr 0.5000 0.5000 0.0000
Bi 0.5000 0.5000 0.5000

Record 2
The following is a PBE calculation of a geometry-optimized PrCo5Ge3 structure, from Alexandria.

* formation energy from the elements: -0.32 eV per atom
* crystal system: orthorhombic

Unit cell a=3.8460 b=12.1401 c=11.4337 alpha=90.00 beta=90.00 gamma=90.00
Space group Cmcm (No. 63)
Symmetry-distinct sites (fractional):
Pr 0.0000 0.1765 0.2500
Co 0.0000 0.0000 0.0000
Co 0.0000 0.1897 0.5629
Co 0.0000 0.4514 0.1442
Ge 0.0000 0.1051 0.7500
Ge 0.0000 0.3770 0.5450

Record 3
The following is a PBE calculation of a geometry-optimized RbPtSeBr2 structure, from Alexandria.

* crystal system: tetragonal
* E_form (uncorrected): -572 meV/atom

Unit cell a=5.5170 b=5.5170 c=4.8287 alpha=90.00 beta=90.00 gamma=90.00
Space group P4/mmm (No. 123)
Symmetry-distinct sites (fractional):
Rb 0.0000 0.0000 0.0000
Pt 0.5000 0.5000 0.5000
Se 0.5000 0.5000 0.0000
Br 0.0000 0.5000 0.5000

Uncorrected energy
In order: -1.8837, -6.3423, -3.3399
Unit: eV/atom
Theoretical density
In order: 2750, 8131, 5867
Unit: kg/m³
M_tot
In order: 0.000, 2.457, 0.000
Unit: μB/f.u.